Compound: SrLi2MgHg4
Source: Alexandria
Functional: PBE
Structure: optimized geometry

As for the electronic total energy: -1.402 eV/atom. The energy of formation comes out at -363 meV/atom.

The space group is R-3m (No. 166, hexagonal axes) and the conventional cell measures 4.8124, 4.8124 and 28.3828 Å, with angles of 90.00, 90.00 and 120.00 degrees. Symmetry generates all atoms from Sr at (0.0000, 0.0000, 0.0000), Li at (0.0000, 0.0000, 0.2325), Mg at (0.0000, 0.0000, 0.5000), Hg at (0.0000, 0.0000, 0.1278) and Hg at (0.0000, 0.0000, 0.3974).


Compound: POs
Source: Alexandria
Functional: PBE
Structure: optimized geometry

As for the electronic total energy: -8.292 eV/atom. The energy of formation comes out at 28 meV/atom.

The space group is Amm2 (No. 38) and the conventional cell measures 3.6200, 10.4551 and 5.3383 Å, with angles of 90.00, 90.00 and 90.00 degrees. Symmetry generates all atoms from P at (0.0000, 0.0000, 0.0000), P at (0.5000, 0.1796, 0.5059), Os at (0.0000, 0.2109, 0.1874) and Os at (0.5000, 0.0000, 0.2667).


Compound: La2BiPt
Source: Alexandria
Functional: PBE
Structure: optimized geometry

As for the electronic total energy: -5.943 eV/atom. The energy of formation comes out at -999 meV/atom.

The space group is R-3m (No. 166, hexagonal axes) and the conventional cell measures 4.4582, 4.4582 and 22.2504 Å, with angles of 90.00, 90.00 and 120.00 degrees. Symmetry generates all atoms from La at (0.0000, 0.0000, 0.2400), Bi at (0.0000, 0.0000, 0.0000) and Pt at (0.0000, 0.0000, 0.5000).


Compound: InAs3Au
Source: Alexandria
Functional: PBE
Structure: optimized geometry

As for the electronic total energy: -3.280 eV/atom. The calculation puts the relative energy among the computed polymorphs at 0.0 meV/atom. The energy of formation comes out at 712 meV/atom.

The space group is Pm-3m (No. 221) and the conventional cell measures 5.1052, 5.1052 and 5.1052 Å, with angles of 90.00, 90.00 and 90.00 degrees. Symmetry generates all atoms from In at (0.0000, 0.0000, 0.0000), As at (0.0000, 0.5000, 0.5000) and Au at (0.5000, 0.5000, 0.5000).


Please write out number 3 again, unchanged.
Compound: La2BiPt
Source: Alexandria
Functional: PBE
Structure: optimized geometry

As for the electronic total energy: -5.943 eV/atom. The energy of formation comes out at -999 meV/atom.

The space group is R-3m (No. 166, hexagonal axes) and the conventional cell measures 4.4582, 4.4582 and 22.2504 Å, with angles of 90.00, 90.00 and 120.00 degrees. Symmetry generates all atoms from La at (0.0000, 0.0000, 0.2400), Bi at (0.0000, 0.0000, 0.0000) and Pt at (0.0000, 0.0000, 0.5000).


Repeat the second record exactly.
Compound: POs
Source: Alexandria
Functional: PBE
Structure: optimized geometry

As for the electronic total energy: -8.292 eV/atom. The energy of formation comes out at 28 meV/atom.

The space group is Amm2 (No. 38) and the conventional cell measures 3.6200, 10.4551 and 5.3383 Å, with angles of 90.00, 90.00 and 90.00 degrees. Symmetry generates all atoms from P at (0.0000, 0.0000, 0.0000), P at (0.5000, 0.1796, 0.5059), Os at (0.0000, 0.2109, 0.1874) and Os at (0.5000, 0.0000, 0.2667).